Record 1
This record from Alexandria describes a relaxed structure of Y2CdSi. The functional is PBE.

For the uncorrected energy, the calculation gives -20.98 eV for the cell shown. Its total magnetization is 0.00 Bohr magnetons per cell. For the uncorrected formation energy, the calculation gives -0.4282 eV per atom.

It has space group P4/mmm (No. 123), with a = 4.9843 Å, b = 4.9843 Å, c = 3.8222 Å, α = 90.00°, β = 90.00° and γ = 90.00°. Symmetry generates all atoms from Y at (0.0000, 0.5000, 0.0000), Cd at (0.0000, 0.0000, 0.5000) and Si at (0.5000, 0.5000, 0.5000).

Record 2
This record from Alexandria describes a relaxed structure of YCdSi2. The functional is PBE.

For the uncorrected energy, the calculation gives -71.55 eV for the cell shown. Its total magnetization is 0.00 Bohr magnetons per cell. For the uncorrected formation energy, the calculation gives 0.0841 eV per atom.

It has space group I-42d (No. 122), with a = 4.5162 Å, b = 4.5162 Å, c = 18.1905 Å, α = 90.00°, β = 90.00° and γ = 90.00°. Symmetry generates all atoms from Y at (0.0000, 0.0000, 0.0000), Cd at (0.0000, 0.0000, 0.5000) and Si at (0.1521, 0.2500, 0.6250).

Record 3
This record from Alexandria describes a relaxed structure of Y2CdSi. The functional is PBE.

For the uncorrected energy, the calculation gives -19.65 eV for the cell shown. Its total magnetization is 0.00 Bohr magnetons per cell. For the uncorrected formation energy, the calculation gives -0.0960 eV per atom.

It has space group P4mm (No. 99), with a = 3.4333 Å, b = 3.4333 Å, c = 8.4784 Å, α = 90.00°, β = 90.00° and γ = 90.00°. Symmetry generates all atoms from Y at (0.0000, 0.0000, 0.0000), Y at (0.5000, 0.5000, 0.3265), Cd at (0.0000, 0.0000, 0.5835) and Si at (0.5000, 0.5000, 0.7765).

Record 4
This record from Alexandria describes a relaxed structure of Y2CdSi. The functional is PBE.

For the uncorrected energy, the calculation gives -59.11 eV for the cell shown. Its total magnetization is 3.70 Bohr magnetons per cell. For the uncorrected formation energy, the calculation gives -0.1091 eV per atom.

It has space group R3m (No. 160, hexagonal axes), with a = 4.2462 Å, b = 4.2462 Å, c = 21.1548 Å, α = 90.00°, β = 90.00° and γ = 120.00°. Symmetry generates all atoms from Y at (0.0000, 0.0000, 0.0000), Y at (0.0000, 0.0000, 0.1982), Cd at (0.0000, 0.0000, 0.7561) and Si at (0.0000, 0.0000, 0.4503).

Record 5
This record from Alexandria describes a relaxed structure of YCdSi. The functional is PBE.

For the uncorrected energy, the calculation gives -13.96 eV for the cell shown. Its total magnetization is 0.00 Bohr magnetons per cell. For the uncorrected formation energy, the calculation gives -0.3872 eV per atom.

It has space group P3m1 (No. 156), with a = 4.3645 Å, b = 4.3645 Å, c = 4.0801 Å, α = 90.00°, β = 90.00° and γ = 120.00°. Symmetry generates all atoms from Y at (0.0000, 0.0000, 0.0000), Cd at (0.6667, 0.3333, 0.4858) and Si at (0.3333, 0.6667, 0.5298).

Record 6
This record from Alexandria describes a relaxed structure of YCdSi. The functional is PBE.

For the uncorrected energy, the calculation gives -57.22 eV for the cell shown. Its total magnetization is 0.00 Bohr magnetons per cell. For the uncorrected formation energy, the calculation gives -0.5011 eV per atom.

It has space group Cmcm (No. 63), with a = 4.1954 Å, b = 16.6705 Å, c = 3.8190 Å, α = 90.00°, β = 90.00° and γ = 90.00°. Symmetry generates all atoms from Y at (0.0000, 0.0899, 0.2500), Cd at (0.0000, 0.2865, 0.2500) and Si at (0.0000, 0.4549, 0.2500).

Record 7
This record from Alexandria describes a relaxed structure of YCd2Si2. The functional is PBE.

For the uncorrected energy, the calculation gives -40.01 eV for the cell shown. Its total magnetization is 0.00 Bohr magnetons per cell. For the uncorrected formation energy, the calculation gives -0.1734 eV per atom. The polymorph energy (0 for the lowest one) comes out at 0 meV/atom.

It has space group I4/mmm (No. 139), with a = 4.1743 Å, b = 4.1743 Å, c = 12.0663 Å, α = 90.00°, β = 90.00° and γ = 90.00°. Symmetry generates all atoms from Y at (0.0000, 0.0000, 0.0000), Cd at (0.0000, 0.5000, 0.2500) and Si at (0.0000, 0.0000, 0.4035).

Record 8
This record from Alexandria describes a relaxed structure of Y5Cd2Si2. The functional is PBE.

For the uncorrected energy, the calculation gives -199.14 eV for the cell shown. Its total magnetization is 0.00 Bohr magnetons per cell. For the uncorrected formation energy, the calculation gives -0.5320 eV per atom.

It has space group Cmce (No. 64), with a = 16.1980 Å, b = 7.5385 Å, c = 7.5487 Å, α = 90.00°, β = 90.00° and γ = 90.00°. Symmetry generates all atoms from Y at (0.0000, 0.0000, 0.0000), Y at (0.1245, 0.1836, 0.3209), Cd at (0.2212, 0.0000, 0.0000) and Si at (0.0000, 0.1176, 0.6194).

Record 9
This record from Alexandria describes a relaxed structure of YCdSi3. The functional is PBE.

For the uncorrected energy, the calculation gives -19.71 eV for the cell shown. Its total magnetization is 0.00 Bohr magnetons per cell. For the uncorrected formation energy, the calculation gives 0.7885 eV per atom. The polymorph energy (0 for the lowest one) comes out at 0 meV/atom.

It has space group Pm-3m (No. 221), with a = 4.9806 Å, b = 4.9806 Å, c = 4.9806 Å, α = 90.00°, β = 90.00° and γ = 90.00°. Symmetry generates all atoms from Y at (0.0000, 0.0000, 0.0000), Cd at (0.5000, 0.5000, 0.5000) and Si at (0.0000, 0.5000, 0.5000).

Record 10
This record from Alexandria describes a relaxed structure of YCdSi3. The functional is PBE.

For the uncorrected energy, the calculation gives -18.28 eV for the cell shown. Its total magnetization is 0.00 Bohr magnetons per cell. For the uncorrected formation energy, the calculation gives 1.0744 eV per atom. The polymorph energy (0 for the lowest one) comes out at 286 meV/atom.

It has space group Pm-3m (No. 221), with a = 5.3622 Å, b = 5.3622 Å, c = 5.3622 Å, α = 90.00°, β = 90.00° and γ = 90.00°. Symmetry generates all atoms from Y at (0.0000, 0.0000, 0.0000), Cd at (0.5000, 0.5000, 0.5000) and Si at (0.0000, 0.0000, 0.5000).

Record 11
This record from Alexandria describes a relaxed structure of Y4CdSi. The functional is PBE.

For the uncorrected energy, the calculation gives -118.24 eV for the cell shown. Its total magnetization is 0.00 Bohr magnetons per cell. For the uncorrected formation energy, the calculation gives 0.4392 eV per atom.

It has space group F-43m (No. 216), with a = 8.8077 Å, b = 8.8077 Å, c = 8.8077 Å, α = 90.00°, β = 90.00° and γ = 90.00°. Symmetry generates all atoms from Y at (0.1255, 0.1255, 0.1255), Cd at (0.2500, 0.2500, 0.7500) and Si at (0.0000, 0.0000, 0.5000).

Record 12
This record from Alexandria describes a relaxed structure of YCdSi. The functional is PBE.

For the uncorrected energy, the calculation gives -54.97 eV for the cell shown. Its total magnetization is 0.00 Bohr magnetons per cell. For the uncorrected formation energy, the calculation gives -0.3132 eV per atom.

It has space group F-43m (No. 216), with a = 6.5750 Å, b = 6.5750 Å, c = 6.5750 Å, α = 90.00°, β = 90.00° and γ = 90.00°. Symmetry generates all atoms from Y at (0.0000, 0.0000, 0.0000), Cd at (0.0000, 0.0000, 0.5000) and Si at (0.2500, 0.2500, 0.7500).